Na2TlWO4 PBE with a Hubbard U relaxed; total moment = 1.0 μB per formula unit; calculated total energy = -5.594 eV/atom; space group = I-42m, No. 121
1.0
-3.011 3.011 3.832
3.011 -3.011 3.832
3.011 3.011 -3.832
Na Tl W O
2 1 1 4
direct
0.250 0.750 0.500
0.750 0.250 0.500
0.000 0.000 0.000
0.500 0.500 0.000
0.185 0.185 0.613
0.428 0.815 0.000
0.572 0.572 0.387
0.815 0.428 0.000